Density functional theory data (PBE) for an optimized crystal structure of Li7SiPd4.

- symmetry = C2/m (12)
- formation energy (no corrections) (kJ/mol of atoms) = -25

a = 4.645 Å, b = 8.610 Å, c = 5.787 Å
α = 107.49°, β = 66.34°, γ = 74.35°
Fractional positions:
1 Pd 0.337 0.752 0.573
2 Pd 0.387 0.272 0.954
3 Pd 0.613 0.728 0.046
4 Pd 0.663 0.248 0.427
5 Li 0.500 0.000 0.000
6 Li 0.996 0.606 0.403
7 Li 0.734 0.415 0.118
8 Li 0.004 0.394 0.597
9 Li 0.266 0.585 0.882
10 Li 0.174 0.083 0.570
11 Li 0.826 0.917 0.430
12 Si 0.000 0.000 0.000

=====

Density functional theory data (PBE) for an optimized crystal structure of Pm6Dy2YTm.

- symmetry = C2/c (15)
- ΔH_f (0 K) (meV per atom) = 114.3

a = 9.607 Å, b = 8.937 Å, c = 8.937 Å
α = 118.10°, β = 93.68°, γ = 93.68°
Fractional positions:
1 Pm 0.312 0.988 0.434
2 Pm 0.554 0.761 0.122
3 Pm 0.688 0.012 0.566
4 Pm 0.882 0.290 0.506
5 Pm 0.446 0.239 0.878
6 Pm 0.382 0.506 0.290
7 Pm 0.188 0.566 0.012
8 Pm 0.946 0.878 0.239
9 Pm 0.812 0.434 0.988
10 Pm 0.118 0.710 0.494
11 Pm 0.618 0.494 0.710
12 Pm 0.054 0.122 0.761
13 Dy 0.045 0.304 0.201
14 Dy 0.545 0.201 0.304
15 Dy 0.955 0.696 0.799
16 Dy 0.455 0.799 0.696
17 Y 0.750 0.026 0.974
18 Y 0.250 0.974 0.026
19 Tm 0.250 0.412 0.588
20 Tm 0.750 0.588 0.412

=====

Density functional theory data (PBE) for an optimized crystal structure of Tb14NdPu.

- symmetry = P4/mmm (123)
- ΔH_f (0 K) (meV per atom) = 38.4

a = 7.128 Å, b = 7.128 Å, c = 10.025 Å
α = 90.00°, β = 90.00°, γ = 90.00°
Fractional positions:
1 Tb 0.123 0.877 0.751
2 Tb 0.875 0.625 0.500
3 Tb 0.123 0.373 0.249
4 Tb 0.375 0.125 0.500
5 Tb 0.375 0.125 0.000
6 Tb 0.627 0.877 0.751
7 Tb 0.123 0.373 0.751
8 Tb 0.123 0.877 0.249
9 Tb 0.627 0.373 0.751
10 Tb 0.875 0.625 0.000
11 Tb 0.627 0.373 0.249
12 Tb 0.375 0.625 0.500
13 Tb 0.627 0.877 0.249
14 Tb 0.875 0.125 0.500
15 Pu 0.875 0.125 0.000
16 Nd 0.375 0.625 0.000

=====

Density functional theory data (PBE) for an optimized crystal structure of Li4Ho3Sn4.

- symmetry = Immm (71)
- ΔH_f (0 K) (meV per atom) = -596.9

a = 4.574 Å, b = 7.093 Å, c = 8.602 Å
α = 114.35°, β = 105.42°, γ = 90.00°
Fractional positions:
1 Ho 0.000 0.500 0.000
2 Ho 0.127 0.127 0.254
3 Ho 0.873 0.873 0.746
4 Li 0.326 0.516 0.653
5 Li 0.674 0.484 0.347
6 Li 0.674 0.863 0.347
7 Li 0.326 0.137 0.653
8 Sn 0.500 0.797 0.000
9 Sn 0.785 0.285 0.570
10 Sn 0.500 0.203 0.000
11 Sn 0.215 0.715 0.430

=====

Density functional theory data (PBE) for an optimized crystal structure of TbGe2BiO8.

- symmetry = I-4m2 (119)
- formation energy (no corrections) (kJ/mol of atoms) = -170

a = 5.949 Å, b = 5.949 Å, c = 5.949 Å
α = 106.86°, β = 106.86°, γ = 114.82°
Fractional positions:
1 O 0.378 0.062 0.316
2 O 0.307 0.127 0.821
3 O 0.938 0.255 0.316
4 O 0.745 0.062 0.684
5 O 0.938 0.622 0.684
6 O 0.514 0.693 0.821
7 O 0.307 0.486 0.179
8 O 0.873 0.693 0.179
9 Ge 0.750 0.250 0.500
10 Ge 0.500 0.500 0.000
11 Bi 0.000 0.000 0.000
12 Tb 0.250 0.750 0.500

=====

Density functional theory data (PBE) for an optimized crystal structure of LaGd2Pt.

- symmetry = Fm-3m (225)
- E above lowest polymorph (eV per atom) = 0.236
- ΔH_f (0 K) (meV per atom) = -341.7

a = 5.217 Å, b = 5.217 Å, c = 5.214 Å
α = 59.98°, β = 59.98°, γ = 60.00°
Fractional positions:
1 Pt 0.000 0.000 0.000
2 Gd 0.250 0.250 0.250
3 Gd 0.750 0.750 0.750
4 La 0.500 0.500 0.500

=====

Number 1: DOS(E_F) 0.348 states/eV per atom. Number 2: DOS(E_F) 1.360 states/eV per atom. Number 3: DOS(E_F) 1.741 states/eV per atom. Number 4: DOS(E_F) 0.264 states/eV per atom. Number 5: DOS(E_F) 0.393 states/eV per atom. Number 6: DOS(E_F) 0.991 states/eV per atom.